# LiCo3NiO8 | the Alexandria database | PBE with a Hubbard U | optimized geometry
# relative energy among the computed polymorphs: 0 meV/atom
data_LiCo3NiO8
_chemical_formula_sum 'Li2 Co6 Ni2 O16'
_space_group_name_H-M_alt 'C 1 2/m 1'
_space_group_IT_number 12
_cell_length_a 9.776
_cell_length_b 5.608
_cell_length_c 5.886
_cell_angle_alpha 90.00
_cell_angle_beta 122.10
_cell_angle_gamma 90.00
loop_
_space_group_symop_operation_xyz
'x,y,z'
'-x,-y,-z'
'-x,y,-z'
'x,-y,z'
'x+1/2,y+1/2,z'
'-x+1/2,-y+1/2,-z'
'-x+1/2,y+1/2,-z'
'x+1/2,-y+1/2,z'
loop_
_atom_site_label
_atom_site_fract_x
_atom_site_fract_y
_atom_site_fract_z
Li1 0.000 0.000 0.000
Co1 0.000 0.500 0.500
Co2 0.250 0.250 0.500
Ni1 0.000 0.000 0.500
O1 0.022 0.244 0.304
O2 0.227 0.000 0.692
O3 0.232 0.500 0.695